[1]
A plane-wave DFT calculation with GGA-PBE was carried out for a relaxed Nd2PaP3 crystal.

a = 7.086 Å, b = 7.086 Å, c = 8.178 Å
α = 106.77°, β = 106.77°, γ = 48.02°
Sites, in units of the cell vectors:
P 0.156 0.155 0.578
P 0.845 0.844 0.922
P 0.155 0.156 0.078
P 0.500 0.500 0.250
Pa 0.000 0.000 0.750
Nd 0.669 0.669 0.584
P 0.500 0.500 0.750
Nd 0.331 0.331 0.916
P 0.844 0.845 0.422
Nd 0.331 0.331 0.416
Pa 0.000 0.000 0.250
Nd 0.669 0.669 0.084

Properties
- total DFT energy (no corrections) (eV per formula unit) = -44.1

[2]
A plane-wave DFT calculation with GGA-PBE was carried out for a relaxed LiPrPt crystal.

a = 4.776 Å, b = 4.776 Å, c = 4.776 Å
α = 60.00°, β = 60.00°, γ = 60.00°
Sites, in units of the cell vectors:
Pr 0.000 0.000 0.000
Pt 0.750 0.750 0.750
Li 0.250 0.250 0.250

Properties
- energy above the lowest structure with this stoichiometry (eV per atom) = 0.432

[3]
A plane-wave DFT calculation with GGA-PBE was carried out for a relaxed YNbAu crystal.

a = 4.709 Å, b = 4.709 Å, c = 4.709 Å
α = 60.00°, β = 60.00°, γ = 60.00°
Sites, in units of the cell vectors:
Nb 0.250 0.250 0.250
Au 0.000 0.000 0.000
Y 0.750 0.750 0.750

Properties
- energy above the lowest structure with this stoichiometry (eV per atom) = 0.000
- energy of formation from the pure elements (kJ/mol of atoms) = 24.33

[4]
A plane-wave DFT calculation with GGA-PBE was carried out for a relaxed FeSn3 crystal.

a = 4.526 Å, b = 4.526 Å, c = 4.526 Å
α = 90.00°, β = 90.00°, γ = 90.00°
Last column: magnetic moment on the atom in μB.
Sites, in units of the cell vectors:
Sn 0.500 0.000 0.500  -0.04
Sn 0.500 0.500 0.000  -0.01
Fe 0.000 0.000 0.000  2.78
Sn 0.000 0.500 0.500  -0.04

Properties
- total DFT energy (no corrections) (eV per formula unit) = -18.6

[5]
A plane-wave DFT calculation with GGA-PBE was carried out for a relaxed Tm2Ga9Co3 crystal.

a = 7.321 Å, b = 7.321 Å, c = 9.356 Å
α = 90.00°, β = 90.00°, γ = 119.76°
Sites, in units of the cell vectors:
Ga 0.333 0.333 0.441
Co 0.329 0.671 0.000
Co 0.329 0.671 0.500
Ga 0.666 0.001 0.427
Ga 0.999 0.334 0.927
Ga 0.449 0.664 0.250
Tm 0.668 0.996 0.750
Ga 0.336 0.551 0.750
Ga 0.880 0.880 0.250
Ga 0.334 0.999 0.573
Co 0.671 0.329 0.000
Ga 0.667 0.667 0.559
Co 0.671 0.329 0.500
Co 0.000 0.000 0.000
Ga 0.001 0.666 0.427
Ga 0.551 0.336 0.750
Ga 0.333 0.333 0.059
Ga 0.666 0.001 0.073
Ga 0.001 0.666 0.073
Ga 0.667 0.667 0.941
Tm 0.332 0.004 0.250
Ga 0.664 0.449 0.250
Co 0.000 0.000 0.500
Tm 0.004 0.332 0.250
Ga 0.999 0.334 0.573
Ga 0.120 0.120 0.750
Tm 0.996 0.668 0.750
Ga 0.334 0.999 0.927

Properties
- total DFT energy (no corrections) (eV per formula unit) = -64.2

[6]
A plane-wave DFT calculation with GGA-PBE was carried out for a relaxed TbCd crystal.

a = 4.788 Å, b = 4.788 Å, c = 4.788 Å
α = 60.00°, β = 60.00°, γ = 60.00°
Sites, in units of the cell vectors:
Tb 0.250 0.250 0.250
Cd 0.000 0.000 0.000

Properties
- energy of formation from the pure elements (kJ/mol of atoms) = 67.13